Here is an optimized crystal structure of YOs2 from Alexandria via LeMat-Bulk. Energies are from PBE-GGA. Values from VASP.

Values from the calculation:
M_tot, μB/f.u.: 0.0
Calculated density, g/cm3: 14.3
ΔE_f, meV/atom: 626

```
&SYSTEM
  ibrav = 0, nat = 6, ntyp = 2
/
ATOMIC_SPECIES
Y 88.91 Y.upf
Os 190.23 Os.upf
ATOMIC_POSITIONS crystal
Y 0.0000 0.0000 0.0000
Y 0.5000 0.5000 0.5000
Os 0.2190 0.3589 0.0000
Os 0.2810 0.8589 0.5000
Os 0.7190 0.1411 0.5000
Os 0.7810 0.6411 0.0000
CELL_PARAMETERS angstrom
2.8306 0.0000 0.0000
0.0000 7.8603 0.0000
0.0000 0.0000 4.9010
```